# 1
Below is a relaxed Li2CaBPt crystal, with properties calculated at the GGA-PBE level.

Calculated values
Energy of formation in eV/atom: -0.34
Crystal system: tetragonal

Geometry as CIF:
```
data_Li2CaBPt
_cell_length_a 4.402
_cell_length_b 4.402
_cell_length_c 4.165
_cell_angle_alpha 90.00
_cell_angle_beta 90.00
_cell_angle_gamma 90.00
_space_group_name_H-M_alt 'P 4/m m m'
_space_group_IT_number 123
_space_group_name_Hall '-P 4 2'
loop_
_atom_site_label
_atom_site_type_symbol
_atom_site_fract_x
_atom_site_fract_y
_atom_site_fract_z
Li1 Li 0.000 0.500 0.000
Ca1 Ca 0.000 0.000 0.500
B1 B 0.500 0.500 0.000
Pt1 Pt 0.500 0.500 0.500
```



# 2
Below is a relaxed CeCdI crystal, with properties calculated at the GGA-PBE level.

Calculated values
ΔE_f (raw) in eV/atom: -0.6384
Crystal system: monoclinic

Geometry as CIF:
```
data_CeCdI
_cell_length_a 8.178
_cell_length_b 4.723
_cell_length_c 11.705
_cell_angle_alpha 90.00
_cell_angle_beta 103.18
_cell_angle_gamma 90.00
_space_group_name_H-M_alt 'C 1 2/m 1'
_space_group_IT_number 12
_space_group_name_Hall '-C 2y'
loop_
_atom_site_label
_atom_site_type_symbol
_atom_site_fract_x
_atom_site_fract_y
_atom_site_fract_z
Ce1 Ce 0.058 0.000 0.179
Cd1 Cd 0.163 0.500 0.987
I1 I 0.221 0.000 0.655
```



# 3
Below is a relaxed Sm2ErSc2 crystal, with properties calculated at the GGA-PBE level.

Calculated values
Energy of formation in eV/atom: 0.33
Crystal system: monoclinic

Geometry as CIF:
```
data_Sm2ErSc2
_cell_length_a 9.377
_cell_length_b 12.693
_cell_length_c 5.754
_cell_angle_alpha 90.00
_cell_angle_beta 112.88
_cell_angle_gamma 90.00
_space_group_name_H-M_alt 'C 1 2/c 1'
_space_group_IT_number 15
_space_group_name_Hall '-C 2yc'
loop_
_atom_site_label
_atom_site_type_symbol
_atom_site_fract_x
_atom_site_fract_y
_atom_site_fract_z
Sm1 Sm 0.184 0.084 0.374
Er1 Er 0.000 0.432 0.750
Sc1 Sc 0.000 0.168 0.750
Sc2 Sc 0.000 0.306 0.250
```



The records above yield N(E_F) values of 1.9 30.3 28.7 states/eV per cell, respectively.